A plane-wave DFT calculation with GGA+U was carried out for a relaxed structure of Li2V4O9.

DFT total energy   -7.232 eV/atom

Unit cell a=5.0265 b=5.0585 c=13.9094 alpha=89.51 beta=89.97 gamma=60.43
Space group P-1 (No. 2)
Symmetry-distinct sites (fractional):
1 Li 0.0058 0.4868 0.1460 (multiplicity 2)
2 Li 0.0068 0.4993 0.3537 (multiplicity 2)
3 V 0.3299 0.8276 0.4796 (multiplicity 2)
4 V 0.3304 0.8444 0.9791 (multiplicity 2)
5 V 0.3392 0.8182 0.6855 (multiplicity 2)
6 V 0.3470 0.8182 0.1862 (multiplicity 2)
7 O 0.0057 0.8619 0.0811 (multiplicity 2)
8 O 0.0077 0.1312 0.5792 (multiplicity 2)
9 O 0.0203 0.8508 0.7505 (multiplicity 2)
10 O 0.3195 0.4974 0.2499 (multiplicity 2)
11 O 0.3477 0.1168 0.0797 (multiplicity 2)
12 O 0.3533 0.5296 0.5820 (multiplicity 2)
13 O 0.3666 0.1565 0.7486 (multiplicity 2)
14 O 0.4008 0.1373 0.4188 (multiplicity 2)
15 O 0.4043 0.4638 0.9181 (multiplicity 2)